! NaFeB2F8 | the Alexandria database | PBE with a Hubbard U | relaxed; values from VASP
! - Calculated volume: 144.5 Å³/f.u.
! - Calculated total energy: -65.84 eV per cell
! - Total magnetic moment: 3.0 μB/cell
! - Crystal system: trigonal
&SYSTEM
  ibrav = 0, nat = 12, ntyp = 4
/
ATOMIC_SPECIES
F 19.00 F.upf
B 10.81 B.upf
Fe 55.84 Fe.upf
Na 22.99 Na.upf
CELL_PARAMETERS angstrom
4.9152 0.0000 0.0000
2.4576 4.2567 0.0000
2.4576 1.4189 6.9086
ATOMIC_POSITIONS crystal
F 0.9799 0.5241 0.1994
F 0.0201 0.4759 0.8006
F 0.2966 0.9799 0.1994
F 0.1766 0.1766 0.4701
F 0.8234 0.8234 0.5299
F 0.5241 0.2966 0.1994
F 0.7034 0.0201 0.8006
F 0.4759 0.7034 0.8006
B 0.2448 0.2448 0.2656
B 0.7552 0.7552 0.7344
Fe 0.0000 0.0000 0.0000
Na 0.5000 0.5000 0.5000